Record 1
## CaW2Cl (PBE)

Data for CaW2Cl after structural relaxation.

Mass density, g cm⁻³: 7.2
Uncorrected formation energy, eV/atom: 0.034
Total magnetic moment, Bohr magnetons per cell: 0.000

a = 3.3032 Å, b = 3.3032 Å, c = 9.3830 Å
α = 90.00°, β = 90.00°, γ = 90.00°
Closest atoms and distances in Å follow each position.
Space group P4mm (No. 99)
Symmetry-distinct sites (fractional):
Ca 0.0000 0.0000 0.0000 [1 per cell]  4 Cl 2.80
W 0.0000 0.0000 0.6176 [1 per cell]  4 W 2.58
W 0.5000 0.5000 0.7351 [1 per cell]  4 W 2.58
Cl 0.5000 0.5000 0.1639 [1 per cell]  4 Ca 2.80

---

Record 2
## CaW2Cl (PBE)

Data for CaW2Cl after structural relaxation.

Mass density, g cm⁻³: 8.8
Uncorrected formation energy, eV/atom: 0.019
Total magnetic moment, Bohr magnetons per cell: 0.002

a = 3.2335 Å, b = 3.3660 Å, c = 15.3806 Å
α = 90.00°, β = 90.00°, γ = 90.00°
Closest atoms and distances in Å follow each position.
Space group Amm2 (No. 38)
Symmetry-distinct sites (fractional):
Ca 0.0000 0.0000 0.0000 [2 per cell]  4 Cl 2.96, 2 Ca 3.23, 4 W 3.28
W 0.0000 0.0000 0.2252 [2 per cell]  4 W 2.61, 2 Cl 2.90
W 0.5000 0.0000 0.6499 [2 per cell]  4 W 2.61
Cl 0.5000 0.0000 0.3818 [2 per cell]  2 W 2.90, 4 Ca 2.96, 2 Cl 3.23

---

Looking at energy above the lowest structure with this stoichiometry for the records above, in order, we have 14.4; 0.0 meV/atom.